The following is a DFT calculation (PBE) of crystalline Pm2Cd at its relaxed geometry.

Geometry as POSCAR:
```
Pm2Cd
1.0
4.701 2.714 7.677
-4.701 2.714 7.677
0.000 -5.428 7.677
Cd Pm
2 4
direct
0.500 0.500 0.500
0.250 0.250 0.250
0.375 0.375 0.875
0.375 0.375 0.375
0.875 0.375 0.375
0.375 0.875 0.375
```

Values from the calculation:
- Total DFT energy (no corrections): -11.30 eV/cell
- Polymorph energy (0 for the lowest one): 128.58 kJ per mole of atoms
- Symmetry: Fd-3m (227)
- Magnetization: 0.36 μB per formula unit
- Energy relative to the elements: 1.5785 eV per atom